A relaxed Ca2DyCd4 crystal. Source: the Alexandria database, functional PBE.

abc: 5.4652 5.4652 13.7552
angles: 90.00 90.00 90.00
Space group I4/mmm (No. 139)
One atom of each set of equivalent atoms:
Ca (0.0000, 0.0000, 0.2387) (multiplicity 4)
Dy (0.0000, 0.0000, 0.5000) (multiplicity 2)
Cd (0.0000, 0.5000, 0.1129) (multiplicity 8)

Its formation energy is -0.18 eV per atom. The volume is 410.8 Å³ per cell. The calculation puts the total magnetic moment at 0.00 μB per cell. The value obtained for the mass density is 5.6 g/cm³.